Density functional theory data (PBE-GGA) for a relaxed Hg2Ru crystal. Values from VASP.

```
&SYSTEM
  ibrav = 0, nat = 12, ntyp = 2
/
ATOMIC_SPECIES
Hg 200.59 Hg.upf
Ru 101.07 Ru.upf
CELL_PARAMETERS angstrom
6.4216 0.0000 0.0000
0.0000 6.4216 0.0000
0.0000 0.0000 6.4216
ATOMIC_POSITIONS angstrom
Hg 1.6054 1.6054 1.6054
Hg 1.6054 1.6054 4.8162
Hg 1.6054 4.8162 1.6054
Hg 1.6054 4.8162 4.8162
Hg 4.8162 1.6054 1.6054
Hg 4.8162 1.6054 4.8162
Hg 4.8162 4.8162 1.6054
Hg 4.8162 4.8162 4.8162
Ru 0.0000 0.0000 0.0000
Ru 0.0000 3.2108 3.2108
Ru 3.2108 0.0000 3.2108
Ru 3.2108 3.2108 0.0000
```

Summary:
final energy: -2.588 eV/atom
space-group type: Fm-3m (225)
M_tot: 0.00 μB/cell

Density functional theory data (PBE-GGA) for a relaxed CaEuMgCd crystal. Values from VASP.

```
&SYSTEM
  ibrav = 0, nat = 16, ntyp = 4
/
ATOMIC_SPECIES
Ca 40.08 Ca.upf
Eu 151.96 Eu.upf
Mg 24.30 Mg.upf
Cd 112.41 Cd.upf
CELL_PARAMETERS angstrom
7.8595 0.0000 0.0000
0.0000 7.8595 0.0000
0.0000 0.0000 7.8595
ATOMIC_POSITIONS angstrom
Ca 0.0000 0.0000 0.0000
Ca 0.0000 3.9298 3.9298
Ca 3.9298 0.0000 3.9298
Ca 3.9298 3.9298 0.0000
Eu 0.0000 0.0000 3.9298
Eu 0.0000 3.9298 0.0000
Eu 3.9298 0.0000 0.0000
Eu 3.9298 3.9298 3.9298
Mg 1.9649 1.9649 5.8947
Mg 1.9649 5.8947 1.9649
Mg 5.8947 1.9649 1.9649
Mg 5.8947 5.8947 5.8947
Cd 1.9649 1.9649 1.9649
Cd 1.9649 5.8947 5.8947
Cd 5.8947 1.9649 5.8947
Cd 5.8947 5.8947 1.9649
```

Summary:
final energy: -3.909 eV/atom
space-group type: F-43m (216)
M_tot: 29.77 μB/cell

Density functional theory data (PBE-GGA) for a relaxed CaVSe crystal. Values from VASP.

```
&SYSTEM
  ibrav = 0, nat = 6, ntyp = 3
/
ATOMIC_SPECIES
Ca 40.08 Ca.upf
V 50.94 V.upf
Se 78.96 Se.upf
CELL_PARAMETERS angstrom
3.7928 0.0000 0.0000
0.0000 3.7928 0.0000
0.0000 0.0000 9.1258
ATOMIC_POSITIONS angstrom
Ca 0.9482 0.9482 1.5493
Ca 2.8446 2.8446 7.5765
V 0.9482 2.8446 4.5629
V 2.8446 0.9482 4.5629
Se 0.9482 0.9482 6.2456
Se 2.8446 2.8446 2.8802
```

Summary:
space-group type: P4/nmm (129)
uncorrected formation energy: -702 meV/atom
M_tot: 0.00 μB/cell

Density functional theory data (PBE-GGA) for a relaxed ScAsP2 crystal. Values from VASP.

```
&SYSTEM
  ibrav = 0, nat = 12, ntyp = 3
/
ATOMIC_SPECIES
Sc 44.96 Sc.upf
As 74.92 As.upf
P 30.97 P.upf
CELL_PARAMETERS angstrom
3.7082 0.0000 0.0000
-1.8541 3.2114 0.0000
0.0000 0.0000 18.7976
ATOMIC_POSITIONS angstrom
Sc 0.0000 0.0000 0.0000
Sc 0.0000 2.1410 12.5318
Sc 1.8541 1.0705 6.2659
As 0.0000 0.0000 9.3988
As 0.0000 2.1410 3.1329
As 1.8541 1.0705 15.6647
P 0.0000 0.0000 4.6528
P 0.0000 0.0000 14.1448
P 0.0000 2.1410 7.8790
P 0.0000 2.1410 17.1845
P 1.8541 1.0705 1.6131
P 1.8541 1.0705 10.9187
```

Summary:
final energy: -5.938 eV/atom
space-group type: R-3m (166)
M_tot: 0.00 μB/cell